Computed, not measured: a relaxed structure of LiPm3Tm2S6 at the PBE level of DFT.

N(E_F), states/eV/atom: 0.369
E_form (uncorrected), meV/atom: -1954
VASP energy, eV/atom: -6.11
Total magnetic moment, μB per formula unit: 0.00

Cell: 6.7539 11.7335 6.8738 Å, 90.00 109.23 90.00°
With the nearest neighbours (Å) after each atom.
Space group C2/m (No. 12)
Asymmetric unit:
Li (0.0000, 0.0000, 0.0000) x2  6 S 2.67-2.69
Pm (0.0000, 0.1647, 0.5000) x4  6 S 2.83-2.88
Pm (0.0000, 0.5000, 0.5000) x2  6 S 2.84-2.89
Tm (0.0000, 0.3344, 0.0000) x4  6 S 2.70-2.73
S (0.2419, 0.1650, 0.2318) x8  1 Li 2.69, 2 Tm 2.72-2.73, 3 Pm 2.84-2.88
S (0.2481, 0.5000, 0.2282) x4  1 Li 2.67, 2 Tm 2.70, 3 Pm 2.83-2.89

***

Computed, not measured: a relaxed structure of Li2PmTmS4 at the PBE level of DFT.

N(E_F), states/eV/atom: 0.000
E_form (uncorrected), meV/atom: -1823
VASP energy, eV/atom: -5.52
Total magnetic moment, μB per formula unit: 0.00

Cell: 6.5880 3.9448 6.8362 Å, 90.00 110.23 90.00°
With the nearest neighbours (Å) after each atom.
Space group P2/m (No. 10)
Asymmetric unit:
Li (0.0000, 0.0000, 0.0000) x1  6 S 2.71
Li (0.0000, 0.5000, 0.5000) x1  6 S 2.78-2.79
Pm (0.5000, 0.0000, 0.5000) x1  6 S 2.79-2.80
Tm (0.5000, 0.5000, 0.0000) x1  6 S 2.71-2.73
S (0.2464, 0.5000, 0.2394) x2  1 Tm 2.71, 3 Li 2.71-2.79, 2 Pm 2.79
S (0.2504, 0.0000, 0.7590) x2  3 Li 2.71-2.78, 2 Tm 2.73, 1 Pm 2.80

***

Computed, not measured: a relaxed structure of LiPmU2S4 at the PBE level of DFT.

N(E_F), states/eV/atom: 1.135
E_form (uncorrected), meV/atom: -1519
VASP energy, eV/atom: -7.24
Total magnetic moment, μB per formula unit: 5.53

Cell: 6.6711 3.8526 6.9450 Å, 90.00 108.72 90.00°
With the nearest neighbours (Å) after each atom.
Space group P2/m (No. 10)
Asymmetric unit:
Li (0.0000, 0.0000, 0.0000) x1  6 S 2.71-2.73
Pm (0.5000, 0.5000, 0.0000) x1  6 S 2.80
U (0.0000, 0.5000, 0.5000) x1  6 S 2.73
U (0.5000, 0.0000, 0.5000) x1  6 S 2.81-2.82
S (0.2388, 0.0000, 0.7490) x2  1 Li 2.71, 3 U 2.73-2.82, 2 Pm 2.80
S (0.2394, 0.5000, 0.2461) x2  2 Li 2.73, 3 U 2.73-2.81, 1 Pm 2.80